(1)
Computed, not measured: SrCr2Cu after structural relaxation at the GGA-PBEsol level of DFT.

The crystal system is monoclinic. The value obtained for the excess energy over the best structure of this formula in the dataset is 0.0 meV per atom. The calculation puts the energy at -47.31 eV per cell. As for the formation energy: 17.30 kcal/mol of atoms. The size of the total moment comes out at 0.000 μB/atom.

The structure belongs to space group C2/m (No. 12); the cell edges are 9.099, 3.021 and 5.451 Å and the angles 90.00°, 101.49° and 90.00°. The inequivalent atoms are Sr at (0.000, 0.000, 0.000), Cr at (0.218, 0.000, 0.611) and Cu at (0.000, 0.500, 0.500).

(2)
Computed, not measured: KSn4P3O12 after structural relaxation at the GGA-PBEsol level of DFT.

The crystal system is trigonal. The calculation puts the energy at -823.93 eV per cell. Its uncorrected formation energy is -1939 meV per atom. The size of the total moment comes out at 0.000 μB/atom.

The structure belongs to space group R3c (No. 161, hexagonal axes); the cell edges are 9.7235, 9.7235 and 24.4464 Å and the angles 90.00°, 90.00° and 120.00°. The inequivalent atoms are K at (0.0000, 0.0000, 0.0000), Sn at (0.0000, 0.0000, 0.1513), Sn at (0.1583, 0.4134, 0.4541), P at (0.0060, 0.4682, 0.2503), O at (0.0119, 0.4670, 0.6940), O at (0.0423, 0.2518, 0.9134), O at (0.1121, 0.3677, 0.1287) and O at (0.1695, 0.4851, 0.2642).

Please write out number 2 again, unchanged.
Computed, not measured: KSn4P3O12 after structural relaxation at the GGA-PBEsol level of DFT.

The crystal system is trigonal. The calculation puts the energy at -823.93 eV per cell. Its uncorrected formation energy is -1939 meV per atom. The size of the total moment comes out at 0.000 μB/atom.

The structure belongs to space group R3c (No. 161, hexagonal axes); the cell edges are 9.7235, 9.7235 and 24.4464 Å and the angles 90.00°, 90.00° and 120.00°. The inequivalent atoms are K at (0.0000, 0.0000, 0.0000), Sn at (0.0000, 0.0000, 0.1513), Sn at (0.1583, 0.4134, 0.4541), P at (0.0060, 0.4682, 0.2503), O at (0.0119, 0.4670, 0.6940), O at (0.0423, 0.2518, 0.9134), O at (0.1121, 0.3677, 0.1287) and O at (0.1695, 0.4851, 0.2642).